No. 1
A geometry-optimized CsNaCrCl6 structure, computed with PBE.

Cell lengths 6.893, 6.892, 7.428 Å; angles 90.02, 89.96, 59.92 degrees
Site moments in Bohr magnetons follow the coordinates.
Atoms (fractional coordinates):
Cs: 0.000 0.000 0.000  0.00
Na: 0.666 0.666 0.500  0.00
Cr: 0.333 0.333 0.500  2.11
Cl: 0.055 0.347 0.319  -0.04
Cl: 0.346 0.055 0.681  -0.04
Cl: 0.599 0.347 0.682  -0.04
Cl: 0.053 0.600 0.681  -0.04
Cl: 0.347 0.599 0.319  -0.04
Cl: 0.600 0.053 0.319  -0.04

Properties
SG = No. 5
ρ = 2.3 g/cm³
Formation energy (no corrections) = -128.7 kJ per mole of atoms



No. 2
A geometry-optimized TlCuTe2 structure, computed with PBE.

Cell lengths 6.349, 7.372, 7.372 Å; angles 48.40, 99.94, 80.06 degrees
Atoms (fractional coordinates):
Tl: 0.750 0.885 0.385
Tl: 0.250 0.115 0.615
Te: 0.153 0.192 0.050
Te: 0.347 0.550 0.692
Te: 0.847 0.808 0.950
Te: 0.653 0.450 0.308
Cu: 0.750 0.275 0.775
Cu: 0.250 0.725 0.225

Properties
SG = No. 15
ρ = 7.4 g/cm³
Formation energy (no corrections) = -11.0 kJ per mole of atoms



No. 3
A geometry-optimized PmEuAgAs structure, computed with PBE.

Cell lengths 5.235, 5.235, 5.235 Å; angles 60.00, 60.00, 60.00 degrees
Site moments in Bohr magnetons follow the coordinates.
Atoms (fractional coordinates):
Eu: 0.000 0.000 0.000  6.93
As: 0.750 0.750 0.750  -0.06
Ag: 0.250 0.250 0.250  0.04
Pm: 0.500 0.500 0.500  0.34

Properties
SG = No. 216
ρ = 7.9 g/cm³
ΔE_f = -669 meV/atom



No. 4
A geometry-optimized Pm2Pr3Ga4 structure, computed with PBE.

Cell lengths 7.562, 8.295, 8.295 Å; angles 90.00, 90.00, 105.74 degrees
Atoms (fractional coordinates):
Pm: 0.573 0.186 0.312
Pm: 0.927 0.814 0.812
Pm: 0.427 0.814 0.688
Pm: 0.073 0.186 0.188
Pr: 0.000 0.500 0.500
Pr: 0.500 0.500 0.000
Pr: 0.753 0.235 0.824
Pr: 0.747 0.765 0.324
Pr: 0.247 0.765 0.176
Pr: 0.253 0.235 0.676
Ga: 0.865 0.079 0.528
Ga: 0.635 0.921 0.028
Ga: 0.135 0.921 0.472
Ga: 0.365 0.079 0.972
Ga: 0.885 0.482 0.124
Ga: 0.615 0.518 0.624
Ga: 0.115 0.518 0.876
Ga: 0.385 0.482 0.376

Properties
SG = No. 14
Offset from the most stable computed form = 0 meV per atom
ρ = 6.6 g/cm³
ΔE_f = -502 meV/atom